Record 1
! TbCeZnCd, relaxed, DFT PBE-GGA; values from VASP
! crystal system: cubic
! space group: F-43m, No. 216
! energy of formation: -0.206 eV/atom
! energy above the lowest structure with this stoichiometry: 0.127 eV/f.u.
! E: -13.6 eV for the cell shown
&SYSTEM
  ibrav = 0, nat = 4, ntyp = 4
/
ATOMIC_SPECIES
Tb 158.93 Tb.upf
Ce 140.12 Ce.upf
Zn 65.41 Zn.upf
Cd 112.41 Cd.upf
CELL_PARAMETERS angstrom
0.0000 3.7130 3.7130
3.7130 0.0000 3.7130
3.7130 3.7130 0.0000
ATOMIC_POSITIONS crystal
Tb 0.0000 0.0000 0.0000
Ce 0.5000 0.5000 0.5000
Zn 0.7500 0.7500 0.7500
Cd 0.2500 0.2500 0.2500

Record 2
! Sm7In2Rh2, relaxed, DFT PBE-GGA; values from VASP
! crystal system: orthorhombic
! space group: Cmmm, No. 65
! energy of formation: -0.390 eV/atom
! E: -57.5 eV for the cell shown
&SYSTEM
  ibrav = 0, nat = 11, ntyp = 3
/
ATOMIC_SPECIES
Sm 150.36 Sm.upf
In 114.82 In.upf
Rh 102.91 Rh.upf
CELL_PARAMETERS angstrom
4.1054 -5.6159 0.0000
4.1054 5.6159 0.0000
0.0000 0.0000 7.2138
ATOMIC_POSITIONS crystal
Sm 0.0000 0.0000 0.0000
Sm 0.0000 0.5000 0.2516
Sm 0.0000 0.5000 0.7484
Sm 0.5000 0.0000 0.2516
Sm 0.5000 0.0000 0.7484
Sm 0.5000 0.5000 0.2446
Sm 0.5000 0.5000 0.7554
In 0.1736 0.1736 0.5000
In 0.8264 0.8264 0.5000
Rh 0.2902 0.7098 0.0000
Rh 0.7098 0.2902 0.0000

Record 3
! LiTh2Ga6Fe, relaxed, DFT PBE-GGA; values from VASP
! crystal system: cubic
! space group: Fm-3m, No. 225
! energy of formation: -0.199 eV/atom
! E: -45.4 eV for the cell shown
&SYSTEM
  ibrav = 0, nat = 10, ntyp = 4
/
ATOMIC_SPECIES
Li 6.94 Li.upf
Th 232.04 Th.upf
Ga 69.72 Ga.upf
Fe 55.84 Fe.upf
CELL_PARAMETERS angstrom
0.0000 4.5836 4.5836
4.5836 0.0000 4.5836
4.5836 4.5836 0.0000
ATOMIC_POSITIONS crystal
Li 0.0000 0.0000 0.0000
Th 0.2500 0.2500 0.2500
Th 0.7500 0.7500 0.7500
Ga 0.2461 0.2461 0.7539
Ga 0.2461 0.7539 0.2461
Ga 0.2461 0.7539 0.7539
Ga 0.7539 0.2461 0.2461
Ga 0.7539 0.2461 0.7539
Ga 0.7539 0.7539 0.2461
Fe 0.5000 0.5000 0.5000

Record 4
! PaGaCo5Si2, relaxed, DFT PBE-GGA; values from VASP
! crystal system: tetragonal
! space group: P4/mmm, No. 123
! formation energy without anion corrections: -152.3 meV per atom
! E: -60.3 eV for the cell shown
&SYSTEM
  ibrav = 0, nat = 9, ntyp = 4
/
ATOMIC_SPECIES
Pa 231.04 Pa.upf
Ga 69.72 Ga.upf
Co 58.93 Co.upf
Si 28.09 Si.upf
CELL_PARAMETERS angstrom
3.6572 0.0000 0.0000
0.0000 3.6572 0.0000
0.0000 0.0000 10.0787
ATOMIC_POSITIONS crystal
Pa 0.0000 0.0000 0.0000
Ga 0.0000 0.0000 0.5000
Co 0.0000 0.5000 0.3450
Co 0.0000 0.5000 0.6550
Co 0.5000 0.0000 0.3450
Co 0.5000 0.0000 0.6550
Co 0.5000 0.5000 0.0000
Si 0.5000 0.5000 0.2197
Si 0.5000 0.5000 0.7803

Record 5
! TbPm3Nd2Y6, relaxed, DFT PBE-GGA; values from VASP
! crystal system: monoclinic
! space group: C2/m, No. 12
! energy of formation: 0.011 eV/atom
! E: -67.1 eV for the cell shown
&SYSTEM
  ibrav = 0, nat = 12, ntyp = 4
/
ATOMIC_SPECIES
Tb 158.93 Tb.upf
Pm 145.00 Pm.upf
Nd 144.24 Nd.upf
Y 88.91 Y.upf
CELL_PARAMETERS angstrom
3.1305 -5.4202 0.0000
3.1305 5.4202 0.0000
-2.0784 0.0000 11.7008
ATOMIC_POSITIONS crystal
Tb 0.0000 0.0000 0.0000
Pm 0.1668 0.8332 0.5000
Pm 0.5000 0.5000 0.5000
Pm 0.8332 0.1668 0.5000
Nd 0.3335 0.6665 0.0000
Nd 0.6665 0.3335 0.0000
Y 0.0831 0.4161 0.2498
Y 0.2496 0.2496 0.7499
Y 0.4161 0.0831 0.2498
Y 0.5839 0.9169 0.7502
Y 0.7504 0.7504 0.2501
Y 0.9169 0.5839 0.7502

Record 6
! ZnWAu3, relaxed, DFT PBE-GGA; values from VASP
! crystal system: cubic
! space group: Pm-3m, No. 221
! energy of formation: 1.230 eV/atom
! energy above the lowest structure with this stoichiometry: 0.000 eV/f.u.
! E: -17.9 eV for the cell shown
&SYSTEM
  ibrav = 0, nat = 5, ntyp = 3
/
ATOMIC_SPECIES
Zn 65.41 Zn.upf
W 183.84 W.upf
Au 196.97 Au.upf
CELL_PARAMETERS angstrom
5.0909 0.0000 0.0000
0.0000 5.0909 0.0000
0.0000 0.0000 5.0909
ATOMIC_POSITIONS crystal
Zn 0.0000 0.0000 0.0000
W 0.5000 0.5000 0.5000
Au 0.0000 0.5000 0.5000
Au 0.5000 0.0000 0.5000
Au 0.5000 0.5000 0.0000

Record 7
! BeAlPd3, relaxed, DFT PBE-GGA; values from VASP
! crystal system: cubic
! space group: Pm-3m, No. 221
! energy of formation: -0.315 eV/atom
! energy above the lowest structure with this stoichiometry: 0.901 eV/f.u.
! E: -24.6 eV for the cell shown
&SYSTEM
  ibrav = 0, nat = 5, ntyp = 3
/
ATOMIC_SPECIES
Be 9.01 Be.upf
Al 26.98 Al.upf
Pd 106.42 Pd.upf
CELL_PARAMETERS angstrom
4.1930 0.0000 0.0000
0.0000 4.1930 0.0000
0.0000 0.0000 4.1930
ATOMIC_POSITIONS crystal
Be 0.0000 0.0000 0.0000
Al 0.5000 0.5000 0.5000
Pd 0.0000 0.0000 0.5000
Pd 0.0000 0.5000 0.0000
Pd 0.5000 0.0000 0.0000

Record 8
! DySc5Ag6, relaxed, DFT PBE-GGA; values from VASP
! crystal system: monoclinic
! space group: C2/m, No. 12
! energy of formation: -0.273 eV/atom
! E: -56.6 eV for the cell shown
&SYSTEM
  ibrav = 0, nat = 12, ntyp = 3
/
ATOMIC_SPECIES
Dy 162.50 Dy.upf
Sc 44.96 Sc.upf
Ag 107.87 Ag.upf
CELL_PARAMETERS angstrom
7.7951 -3.4408 0.0000
7.7951 3.4408 0.0000
-1.5522 0.0000 4.6773
ATOMIC_POSITIONS crystal
Dy 0.0000 0.0000 0.0000
Sc 0.1660 0.1660 0.6659
Sc 0.3325 0.3325 0.3323
Sc 0.5000 0.5000 0.0000
Sc 0.6675 0.6675 0.6677
Sc 0.8340 0.8340 0.3341
Ag 0.0857 0.5721 0.8288
Ag 0.2648 0.7352 0.5000
Ag 0.4279 0.9143 0.1712
Ag 0.5721 0.0857 0.8288
Ag 0.7352 0.2648 0.5000
Ag 0.9143 0.4279 0.1712

Record 9
! Tb2DyTmSc4, relaxed, DFT PBE-GGA; values from VASP
! crystal system: tetragonal
! space group: P4/mmm, No. 123
! energy of formation: 0.051 eV/atom
! E: -43.3 eV for the cell shown
&SYSTEM
  ibrav = 0, nat = 8, ntyp = 4
/
ATOMIC_SPECIES
Tb 158.93 Tb.upf
Dy 162.50 Dy.upf
Tm 168.93 Tm.upf
Sc 44.96 Sc.upf
CELL_PARAMETERS angstrom
4.8756 0.0000 0.0000
0.0000 4.8756 0.0000
0.0000 0.0000 9.3292
ATOMIC_POSITIONS crystal
Tb 0.0000 0.0000 0.0000
Tb 0.5000 0.5000 0.5000
Dy 0.0000 0.0000 0.5000
Tm 0.5000 0.5000 0.0000
Sc 0.0000 0.5000 0.2495
Sc 0.0000 0.5000 0.7505
Sc 0.5000 0.0000 0.2495
Sc 0.5000 0.0000 0.7505

Record 10
! Y2NbC, relaxed, DFT PBE-GGA; values from VASP
! crystal system: tetragonal
! space group: I-42d, No. 122
! energy of formation: 0.191 eV/atom
! E: -62.9 eV for the cell shown
&SYSTEM
  ibrav = 0, nat = 8, ntyp = 3
/
ATOMIC_SPECIES
Y 88.91 Y.upf
Nb 92.91 Nb.upf
C 12.01 C.upf
CELL_PARAMETERS angstrom
-4.6538 4.6538 2.1300
4.6538 -4.6538 2.1300
4.6538 4.6538 -2.1300
ATOMIC_POSITIONS crystal
Y 0.3750 0.2193 0.3443
Y 0.7807 0.1250 0.1557
Y 0.8750 0.0307 0.6557
Y 0.9693 0.6250 0.8443
Nb 0.2500 0.7500 0.5000
Nb 0.5000 0.5000 0.0000
C 0.0000 0.0000 0.0000
C 0.7500 0.2500 0.5000

Record 11
! Zn2InIrO8, relaxed, DFT PBE-GGA; values from VASP
! crystal system: monoclinic
! space group: P2/m, No. 10
! formation energy without anion corrections: -793.2 meV per atom
! E: -63.3 eV for the cell shown
&SYSTEM
  ibrav = 0, nat = 12, ntyp = 4
/
ATOMIC_SPECIES
Zn 65.41 Zn.upf
In 114.82 In.upf
Ir 192.22 Ir.upf
O 16.00 O.upf
CELL_PARAMETERS angstrom
4.6638 0.0000 0.0000
0.0000 6.4136 0.0000
-0.2814 0.0000 4.7775
ATOMIC_POSITIONS crystal
Zn 0.0000 0.2498 0.0000
Zn 0.0000 0.7502 0.0000
In 0.5000 0.0000 0.5000
Ir 0.5000 0.5000 0.5000
O 0.2049 0.0000 0.1698
O 0.2206 0.5000 0.1953
O 0.2952 0.2856 0.6740
O 0.2952 0.7144 0.6740
O 0.7048 0.2856 0.3260
O 0.7048 0.7144 0.3260
O 0.7794 0.5000 0.8047
O 0.7951 0.0000 0.8302

Record 12
! Dy6SiTe3As2, relaxed, DFT PBE-GGA; values from VASP
! crystal system: monoclinic
! space group: C2/m, No. 12
! formation energy without anion corrections: -1377.2 meV per atom
! E: -68.3 eV for the cell shown
&SYSTEM
  ibrav = 0, nat = 12, ntyp = 4
/
ATOMIC_SPECIES
Dy 162.50 Dy.upf
Si 28.09 Si.upf
Te 127.60 Te.upf
As 74.92 As.upf
CELL_PARAMETERS angstrom
9.3261 -2.1022 0.0000
9.3261 2.1022 0.0000
-2.2013 0.0000 8.2899
ATOMIC_POSITIONS crystal
Dy 0.0053 0.0053 0.2286
Dy 0.3269 0.3269 0.4337
Dy 0.3430 0.3430 0.9028
Dy 0.6570 0.6570 0.0972
Dy 0.6731 0.6731 0.5663
Dy 0.9947 0.9947 0.7714
Si 0.5000 0.5000 0.0000
Te 0.1684 0.1684 0.8331
Te 0.5000 0.5000 0.5000
Te 0.8316 0.8316 0.1669
As 0.1670 0.1670 0.3342
As 0.8330 0.8330 0.6658

Record 13
! Cd2TcW, relaxed, DFT PBE-GGA; values from VASP
! crystal system: cubic
! space group: Fm-3m, No. 225
! energy of formation: 0.963 eV/atom
! energy above the lowest structure with this stoichiometry: 2.815 eV/f.u.
! E: -21.3 eV for the cell shown
&SYSTEM
  ibrav = 0, nat = 4, ntyp = 3
/
ATOMIC_SPECIES
Cd 112.41 Cd.upf
Tc 98.00 Tc.upf
W 183.84 W.upf
CELL_PARAMETERS angstrom
0.0000 3.2604 3.2604
3.2604 0.0000 3.2604
3.2604 3.2604 0.0000
ATOMIC_POSITIONS crystal
Cd 0.2500 0.2500 0.2500
Cd 0.7500 0.7500 0.7500
Tc 0.0000 0.0000 0.0000
W 0.5000 0.5000 0.5000

Record 14
! RbSc3P, relaxed, DFT PBE-GGA; values from VASP
! crystal system: cubic
! space group: Pm-3m, No. 221
! energy of formation: 0.016 eV/atom
! energy above the lowest structure with this stoichiometry: 0.000 eV/f.u.
! E: -25.3 eV for the cell shown
&SYSTEM
  ibrav = 0, nat = 5, ntyp = 3
/
ATOMIC_SPECIES
Rb 85.47 Rb.upf
Sc 44.96 Sc.upf
P 30.97 P.upf
CELL_PARAMETERS angstrom
5.2194 0.0000 0.0000
0.0000 5.2194 0.0000
0.0000 0.0000 5.2194
ATOMIC_POSITIONS crystal
Rb 0.0000 0.0000 0.0000
Sc 0.0000 0.5000 0.5000
Sc 0.5000 0.0000 0.5000
Sc 0.5000 0.5000 0.0000
P 0.5000 0.5000 0.5000

Record 15
! Ti5In3O12, relaxed, DFT PBE-GGA; values from VASP
! crystal system: cubic
! space group: Ia-3d, No. 230
! formation energy without anion corrections: -2356.5 meV per atom
! E: -617.3 eV for the cell shown
&SYSTEM
  ibrav = 0, nat = 80, ntyp = 3
/
ATOMIC_SPECIES
Ti 47.87 Ti.upf
In 114.82 In.upf
O 16.00 O.upf
CELL_PARAMETERS angstrom
-6.5037 6.5037 6.5037
6.5037 -6.5037 6.5037
6.5037 6.5037 -6.5037
ATOMIC_POSITIONS crystal
Ti 0.0000 0.0000 0.0000
Ti 0.0000 0.0000 0.5000
Ti 0.0000 0.5000 0.0000
Ti 0.0000 0.5000 0.5000
Ti 0.1250 0.7500 0.8750
Ti 0.1250 0.8750 0.2500
Ti 0.2500 0.1250 0.8750
Ti 0.2500 0.6250 0.3750
Ti 0.3750 0.2500 0.6250
Ti 0.3750 0.6250 0.7500
Ti 0.5000 0.0000 0.0000
Ti 0.5000 0.0000 0.5000
Ti 0.5000 0.5000 0.0000
Ti 0.5000 0.5000 0.5000
Ti 0.6250 0.3750 0.2500
Ti 0.6250 0.7500 0.3750
Ti 0.7500 0.3750 0.6250
Ti 0.7500 0.8750 0.1250
Ti 0.8750 0.1250 0.7500
Ti 0.8750 0.2500 0.1250
In 0.1250 0.2500 0.3750
In 0.1250 0.3750 0.7500
In 0.2500 0.3750 0.1250
In 0.2500 0.8750 0.6250
In 0.3750 0.1250 0.2500
In 0.3750 0.7500 0.1250
In 0.6250 0.2500 0.8750
In 0.6250 0.8750 0.7500
In 0.7500 0.1250 0.3750
In 0.7500 0.6250 0.8750
In 0.8750 0.6250 0.2500
In 0.8750 0.7500 0.6250
O 0.0014 0.1830 0.1082
O 0.0014 0.3183 0.8932
O 0.0748 0.6830 0.6817
O 0.0748 0.8918 0.3932
O 0.1068 0.6082 0.4252
O 0.1068 0.9986 0.6817
O 0.1082 0.0014 0.1830
O 0.1082 0.6068 0.9252
O 0.1817 0.1830 0.5748
O 0.1817 0.4986 0.6068
O 0.1830 0.1082 0.0014
O 0.1830 0.5748 0.1817
O 0.3170 0.3183 0.9252
O 0.3170 0.4986 0.3918
O 0.3183 0.8932 0.0014
O 0.3183 0.9252 0.3170
O 0.3918 0.3170 0.4986
O 0.3918 0.5748 0.8932
O 0.3932 0.0748 0.8918
O 0.3932 0.8183 0.5014
O 0.4252 0.1068 0.6082
O 0.4252 0.8183 0.8170
O 0.4986 0.3918 0.3170
O 0.4986 0.6068 0.1817
O 0.5014 0.3932 0.8183
O 0.5014 0.6082 0.6830
O 0.5748 0.1817 0.1830
O 0.5748 0.8932 0.3918
O 0.6068 0.1817 0.4986
O 0.6068 0.9252 0.1082
O 0.6082 0.4252 0.1068
O 0.6082 0.6830 0.5014
O 0.6817 0.0748 0.6830
O 0.6817 0.1068 0.9986
O 0.6830 0.5014 0.6082
O 0.6830 0.6817 0.0748
O 0.8170 0.4252 0.8183
O 0.8170 0.8918 0.9986
O 0.8183 0.5014 0.3932
O 0.8183 0.8170 0.4252
O 0.8918 0.3932 0.0748
O 0.8918 0.9986 0.8170
O 0.8932 0.0014 0.3183
O 0.8932 0.3918 0.5748
O 0.9252 0.1082 0.6068
O 0.9252 0.3170 0.3183
O 0.9986 0.6817 0.1068
O 0.9986 0.8170 0.8918

Record 16
! KGe, relaxed, DFT PBE-GGA; values from VASP
! crystal system: orthorhombic
! space group: Pnma, No. 62
! energy of formation: -0.094 eV/atom
! energy above the lowest structure with this stoichiometry: 0.239 eV/f.u.
! E: -47.2 eV for the cell shown
&SYSTEM
  ibrav = 0, nat = 16, ntyp = 2
/
ATOMIC_SPECIES
K 39.10 K.upf
Ge 72.64 Ge.upf
CELL_PARAMETERS angstrom
9.8372 0.0000 0.0000
0.0000 7.6677 0.0000
0.0000 0.0000 9.0340
ATOMIC_POSITIONS crystal
K 0.1516 0.2500 0.2444
K 0.1554 0.2500 0.7598
K 0.3446 0.7500 0.2598
K 0.3484 0.7500 0.7444
K 0.6516 0.2500 0.2556
K 0.6554 0.2500 0.7402
K 0.8446 0.7500 0.2402
K 0.8484 0.7500 0.7556
Ge 0.1075 0.5913 0.0010
Ge 0.1075 0.9087 0.0010
Ge 0.3925 0.0913 0.5010
Ge 0.3925 0.4087 0.5010
Ge 0.6075 0.5913 0.4990
Ge 0.6075 0.9087 0.4990
Ge 0.8925 0.0913 0.9990
Ge 0.8925 0.4087 0.9990

Record 17
! CuBi3Ru, relaxed, DFT PBE-GGA; values from VASP
! crystal system: cubic
! space group: Pm-3m, No. 221
! energy of formation: 0.713 eV/atom
! energy above the lowest structure with this stoichiometry: 0.000 eV/f.u.
! E: -21.4 eV for the cell shown
&SYSTEM
  ibrav = 0, nat = 5, ntyp = 3
/
ATOMIC_SPECIES
Cu 63.55 Cu.upf
Bi 208.98 Bi.upf
Ru 101.07 Ru.upf
CELL_PARAMETERS angstrom
5.2629 0.0000 0.0000
0.0000 5.2629 0.0000
0.0000 0.0000 5.2629
ATOMIC_POSITIONS crystal
Cu 0.0000 0.0000 0.0000
Bi 0.0000 0.5000 0.5000
Bi 0.5000 0.0000 0.5000
Bi 0.5000 0.5000 0.0000
Ru 0.5000 0.5000 0.5000

Record 18
! LaBeW2, relaxed, DFT PBE-GGA; values from VASP
! crystal system: cubic
! space group: F-43m, No. 216
! energy of formation: 0.768 eV/atom
! E: -31.5 eV for the cell shown
&SYSTEM
  ibrav = 0, nat = 4, ntyp = 3
/
ATOMIC_SPECIES
La 138.91 La.upf
Be 9.01 Be.upf
W 183.84 W.upf
CELL_PARAMETERS angstrom
0.0000 3.3165 3.3165
3.3165 0.0000 3.3165
3.3165 3.3165 0.0000
ATOMIC_POSITIONS crystal
La 0.0000 0.0000 0.0000
Be 0.7500 0.7500 0.7500
W 0.2500 0.2500 0.2500
W 0.5000 0.5000 0.5000

Record 19
! Pm2CdP, relaxed, DFT PBE-GGA; values from VASP
! crystal system: cubic
! space group: Fm-3m, No. 225
! energy of formation: -0.519 eV/atom
! energy above the lowest structure with this stoichiometry: 1.400 eV/f.u.
! E: -17.9 eV for the cell shown
&SYSTEM
  ibrav = 0, nat = 4, ntyp = 3
/
ATOMIC_SPECIES
Pm 145.00 Pm.upf
Cd 112.41 Cd.upf
P 30.97 P.upf
CELL_PARAMETERS angstrom
0.0000 3.6698 3.6698
3.6698 0.0000 3.6698
3.6698 3.6698 0.0000
ATOMIC_POSITIONS crystal
Pm 0.2500 0.2500 0.2500
Pm 0.7500 0.7500 0.7500
Cd 0.0000 0.0000 0.0000
P 0.5000 0.5000 0.5000

Record 20
! Ba8P3PdBr3, relaxed, DFT PBE-GGA; values from VASP
! crystal system: trigonal
! space group: R-3m, No. 166
! formation energy without anion corrections: -1294.6 meV per atom
! E: -61.2 eV for the cell shown
&SYSTEM
  ibrav = 0, nat = 15, ntyp = 4
/
ATOMIC_SPECIES
Ba 137.33 Ba.upf
P 30.97 P.upf
Pd 106.42 Pd.upf
Br 79.90 Br.upf
CELL_PARAMETERS angstrom
4.7084 2.7184 7.8712
-4.7084 2.7184 7.8712
0.0000 -5.4368 7.8712
ATOMIC_POSITIONS crystal
Ba 0.2286 0.7451 0.7451
Ba 0.2393 0.2393 0.2393
Ba 0.2549 0.2549 0.7714
Ba 0.2549 0.7714 0.2549
Ba 0.7451 0.2286 0.7451
Ba 0.7451 0.7451 0.2286
Ba 0.7607 0.7607 0.7607
Ba 0.7714 0.2549 0.2549
P 0.0000 0.0000 0.5000
P 0.0000 0.5000 0.0000
P 0.5000 0.0000 0.0000
Pd 0.5000 0.5000 0.5000
Br 0.0000 0.5000 0.5000
Br 0.5000 0.0000 0.5000
Br 0.5000 0.5000 0.0000